<A>
Material: LaTb2Cd2
Method: DFT, PBE
State: optimized geometry

Density   7.778 g cm⁻³
DOS at the Fermi energy   5.57 states/eV/f.u.
Size of the total moment   0.000 μB per atom
Space-group type   P2_1/m, No. 11

Cell: 3.7849 5.5117 14.0791 Å, 90.00 97.74 90.00°
Closest atoms and distances in Å follow each position.
Fractional coordinates of all 10 atoms:
La1 0.1492 0.2500 0.2956  6 Cd 3.35-3.40, 3 Tb 3.70-3.74
La2 0.8508 0.7500 0.7044  6 Cd 3.35-3.40, 3 Tb 3.70-3.74
Tb1 0.0474 0.7500 0.0945  8 Cd 3.23-3.34
Tb2 0.2362 0.7500 0.4725  2 Cd 3.25, 4 Tb 3.43
Tb3 0.7638 0.2500 0.5275  2 Cd 3.25, 4 Tb 3.43
Tb4 0.9526 0.2500 0.9055  8 Cd 3.23-3.34
Cd1 0.3577 0.2500 0.7167  4 Tb 3.24-3.25, 4 La 3.35
Cd2 0.4533 0.7500 0.9068  6 Tb 3.23-3.34, 2 La 3.40
Cd3 0.5467 0.2500 0.0932  6 Tb 3.23-3.34, 2 La 3.40
Cd4 0.6423 0.7500 0.2833  4 Tb 3.24-3.25, 4 La 3.35

<B>
Material: LaTb2Cd2
Method: DFT, PBE
State: optimized geometry

Density   7.086 g cm⁻³
DOS at the Fermi energy   5.32 states/eV/f.u.
Size of the total moment   0.000 μB per atom
Space-group type   I4/mmm, No. 139

Cell: 13.0591 13.0591 13.0591 Å, 157.74 157.74 31.69°
Closest atoms and distances in Å follow each position.
Fractional coordinates of all 10 atoms:
La1 0.1240 0.1240 0.0000  8 Tb 3.81-4.05, 8 Cd 3.86-4.01
La2 0.8760 0.8760 0.0000  8 Tb 3.81-4.05, 8 Cd 3.86-4.01
Tb1 0.2500 0.7500 0.5000  4 Cd 3.03
Tb2 0.4293 0.4293 0.0000  5 Cd 2.82-3.08
Tb3 0.5707 0.5707 0.0000  5 Cd 2.82-3.08
Tb4 0.7500 0.2500 0.5000  4 Cd 3.03
Cd1 0.0000 0.5000 0.5000  4 Tb 3.08
Cd2 0.3170 0.3170 0.0000  5 Tb 2.82-3.03
Cd3 0.5000 0.0000 0.5000  4 Tb 3.08
Cd4 0.6830 0.6830 0.0000  5 Tb 2.82-3.03

Structures ranked by computed energy, the most stable listed first: <A>, <B>.

<A>
Material: LaTb6Cd2
Method: DFT, PBE
State: optimized geometry

Density   7.967 g cm⁻³
DOS at the Fermi energy   10.32 states/eV/f.u.
Size of the total moment   0.000 μB per atom
Space-group type   C2/m, No. 12

Cell: 6.6550 6.6550 12.0107 Å, 107.34 107.34 32.89°
Closest atoms and distances in Å follow each position.
Fractional coordinates of all 9 atoms:
La1 0.0000 0.0000 0.0000  4 Cd 3.33, 4 Tb 3.69
Tb1 0.0148 0.0148 0.3418  2 Cd 3.22, 6 Tb 3.53-3.57
Tb2 0.3133 0.3133 0.4182  2 Cd 3.23, 7 Tb 3.46-3.57
Tb3 0.3142 0.3142 0.1249  2 Cd 3.26, 5 Tb 3.49-3.57
Tb4 0.6858 0.6858 0.8751  2 Cd 3.26, 5 Tb 3.49-3.57
Tb5 0.6867 0.6867 0.5818  2 Cd 3.23, 7 Tb 3.46-3.57
Tb6 0.9852 0.9852 0.6582  2 Cd 3.22, 6 Tb 3.53-3.57
Cd1 0.3484 0.3484 0.7805  6 Tb 3.22-3.26, 2 La 3.33
Cd2 0.6516 0.6516 0.2195  6 Tb 3.22-3.26, 2 La 3.33

<B>
Material: LaTb6Cd2
Method: DFT, PBE
State: optimized geometry

Density   8.059 g cm⁻³
DOS at the Fermi energy   11.78 states/eV/f.u.
Size of the total moment   0.000 μB per atom
Space-group type   C2/c, No. 15

Cell: 10.2417 10.2417 5.6314 Å, 96.52 96.52 68.08°
Closest atoms and distances in Å follow each position.
Fractional coordinates of all 18 atoms:
La1 0.1691 0.8309 0.7500  6 Tb 3.27-3.45
La2 0.8309 0.1691 0.2500  6 Tb 3.27-3.45
Tb1 0.0021 0.2179 0.7931  4 Tb 3.30-3.63, 1 Cd 3.40, 3 La 3.43-3.68
Tb2 0.1234 0.3483 0.3468  4 Cd 3.25-3.38, 5 Tb 3.30-3.60
Tb3 0.2179 0.0021 0.2931  4 Tb 3.30-3.63, 1 Cd 3.40, 3 La 3.43-3.68
Tb4 0.3313 0.5329 0.4437  3 Cd 3.22-3.30, 3 Tb 3.27-3.38, 1 La 3.27
Tb5 0.3483 0.1234 0.8468  4 Cd 3.25-3.38, 5 Tb 3.30-3.60
Tb6 0.4671 0.6687 0.0563  3 Cd 3.22-3.30, 3 Tb 3.27-3.38, 1 La 3.27
Tb7 0.5329 0.3313 0.9437  3 Cd 3.22-3.30, 3 Tb 3.27-3.38, 1 La 3.27
Tb8 0.6517 0.8766 0.1532  4 Cd 3.25-3.38, 5 Tb 3.30-3.60
Tb9 0.6687 0.4671 0.5563  3 Cd 3.22-3.30, 3 Tb 3.27-3.38, 1 La 3.27
Tb10 0.7821 0.9979 0.7069  4 Tb 3.30-3.63, 1 Cd 3.40, 3 La 3.43-3.68
Tb11 0.8766 0.6517 0.6532  4 Cd 3.25-3.38, 5 Tb 3.30-3.60
Tb12 0.9979 0.7821 0.2069  4 Tb 3.30-3.63, 1 Cd 3.40, 3 La 3.43-3.68
Cd1 0.1935 0.4794 0.8991  8 Tb 3.22-3.40
Cd2 0.4794 0.1935 0.3991  8 Tb 3.22-3.40
Cd3 0.5206 0.8065 0.6009  8 Tb 3.22-3.40
Cd4 0.8065 0.5206 0.1009  8 Tb 3.22-3.40

Structures ranked by computed energy, the most stable listed first: <A>, <B>.

<A>
Material: LaTb3Cd
Method: DFT, PBE
State: optimized geometry

Density   6.991 g cm⁻³
DOS at the Fermi energy   8.59 states/eV/f.u.
Size of the total moment   0.000 μB per atom
Space-group type   Ima2, No. 46

Cell: 7.9245 7.9245 7.9245 Å, 89.22 115.90 125.23°
Closest atoms and distances in Å follow each position.
Fractional coordinates of all 10 atoms:
La1 0.0555 0.2500 0.3055  2 Cd 3.15, 1 Tb 3.35
La2 0.9445 0.7500 0.6945  2 Cd 3.15, 1 Tb 3.35
Tb1 0.0024 0.2311 0.7318  1 Cd 3.04
Tb2 0.0024 0.7706 0.2713  1 Cd 3.04
Tb3 0.4549 0.2516 0.7034  2 Cd 3.09, 1 La 3.35
Tb4 0.4993 0.2706 0.2682  1 Cd 3.04
Tb5 0.4993 0.7311 0.7287  1 Cd 3.04
Tb6 0.5482 0.7516 0.2966  2 Cd 3.09, 1 La 3.35
Cd1 0.0017 0.5009 0.0009  4 Tb 3.04-3.09, 2 La 3.15
Cd2 0.5000 0.0009 0.9991  4 Tb 3.04-3.09, 2 La 3.15

<B>
Material: LaTb3Cd
Method: DFT, PBE
State: optimized geometry

Density   7.737 g cm⁻³
DOS at the Fermi energy   6.92 states/eV/f.u.
Size of the total moment   0.001 μB per atom
Space-group type   P-1, No. 2

Cell: 3.7386 6.8475 12.7132 Å, 86.69 89.98 74.17°
Closest atoms and distances in Å follow each position.
Fractional coordinates of all 10 atoms:
La1 0.2351 0.0291 0.2514  2 Cd 3.39, 8 Tb 3.59-3.77, 2 La 3.74
La2 0.7649 0.9709 0.7486  2 Cd 3.39, 8 Tb 3.59-3.77, 2 La 3.74
Tb1 0.0353 0.4289 0.6885  2 Cd 3.25, 5 Tb 3.51-3.58, 2 La 3.59
Tb2 0.1449 0.2107 0.9512  4 Cd 3.23-3.28, 3 Tb 3.51-3.56
Tb3 0.3672 0.7668 0.5234  9 Tb 3.51-3.74, 3 La 3.74-3.77
Tb4 0.6328 0.2332 0.4766  9 Tb 3.51-3.74, 3 La 3.74-3.77
Tb5 0.8551 0.7893 0.0488  4 Cd 3.23-3.28, 3 Tb 3.51-3.56
Tb6 0.9647 0.5711 0.3115  2 Cd 3.25, 5 Tb 3.51-3.58, 2 La 3.59
Cd1 0.4505 0.5990 0.8727  6 Tb 3.23-3.28, 2 La 3.39, 1 Cd 3.42
Cd2 0.5495 0.4010 0.1273  6 Tb 3.23-3.28, 2 La 3.39, 1 Cd 3.42

Structures ranked by computed energy, the most stable listed first: <B>, <A>.

<A>
Material: LaTbCd2
Method: DFT, PBE
State: optimized geometry

Density   7.592 g cm⁻³
DOS at the Fermi energy   4.46 states/eV/f.u.
Size of the total moment   0.186 μB per atom
Space-group type   Fm-3m, No. 225

Cell: 7.7039 7.7039 7.7039 Å, 90.00 90.00 90.00°
Closest atoms and distances in Å follow each position.
Fractional coordinates of all 16 atoms:
La1 0.0000 0.0000 0.0000  8 Cd 3.34
La2 0.0000 0.5000 0.5000  8 Cd 3.34
La3 0.5000 0.0000 0.5000  8 Cd 3.34
La4 0.5000 0.5000 0.0000  8 Cd 3.34
Tb1 0.0000 0.0000 0.5000  8 Cd 3.34
Tb2 0.0000 0.5000 0.0000  8 Cd 3.34
Tb3 0.5000 0.0000 0.0000  8 Cd 3.34
Tb4 0.5000 0.5000 0.5000  8 Cd 3.34
Cd1 0.2500 0.2500 0.2500  4 Tb 3.34, 4 La 3.34
Cd2 0.2500 0.2500 0.7500  4 Tb 3.34, 4 La 3.34
Cd3 0.2500 0.7500 0.2500  4 Tb 3.34, 4 La 3.34
Cd4 0.2500 0.7500 0.7500  4 Tb 3.34, 4 La 3.34
Cd5 0.7500 0.2500 0.2500  4 Tb 3.34, 4 La 3.34
Cd6 0.7500 0.2500 0.7500  4 Tb 3.34, 4 La 3.34
Cd7 0.7500 0.7500 0.2500  4 Tb 3.34, 4 La 3.34
Cd8 0.7500 0.7500 0.7500  4 Tb 3.34, 4 La 3.34

<B>
Material: LaTbCd2
Method: DFT, PBE
State: optimized geometry

Density   7.633 g cm⁻³
DOS at the Fermi energy   4.66 states/eV/f.u.
Size of the total moment   0.115 μB per atom
Space-group type   P4/mmm, No. 123

Cell: 3.7927 3.7927 7.9045 Å, 90.00 90.00 90.00°
Closest atoms and distances in Å follow each position.
Fractional coordinates of all 4 atoms:
La1 0.0000 0.0000 0.0000  8 Cd 3.44, 4 La 3.79
Tb1 0.0000 0.0000 0.5000  8 Cd 3.23
Cd1 0.5000 0.5000 0.2727  4 Tb 3.23, 4 La 3.44, 1 Cd 3.59
Cd2 0.5000 0.5000 0.7273  4 Tb 3.23, 4 La 3.44, 1 Cd 3.59

Structures ranked by computed energy, the most stable listed first: <B>, <A>.

<A>
Material: La8Tb2Cd
Method: DFT, PBE
State: optimized geometry

Density   6.764 g cm⁻³
DOS at the Fermi energy   16.65 states/eV/f.u.
Size of the total moment   0.000 μB per atom
Space-group type   C2/m, No. 12

Cell: 9.6615 9.6615 8.1996 Å, 104.70 104.70 30.83°
Closest atoms and distances in Å follow each position.
Fractional coordinates of all 11 atoms:
La1 0.0452 0.0452 0.2280  9 La 3.59-3.68, 2 Cd 3.64, 1 Tb 3.65
La2 0.1373 0.1373 0.6804  7 La 3.59-3.73, 3 Tb 3.65-3.66, 2 Cd 3.65
La3 0.3232 0.3232 0.5896  1 Cd 3.56, 8 La 3.59-3.75, 3 Tb 3.68-3.69
La4 0.4084 0.4084 0.0488  3 Tb 3.63-3.64, 8 La 3.64-3.70, 1 Cd 3.64
La5 0.5916 0.5916 0.9512  3 Tb 3.63-3.64, 8 La 3.64-3.70, 1 Cd 3.64
La6 0.6768 0.6768 0.4104  1 Cd 3.56, 8 La 3.59-3.75, 3 Tb 3.68-3.69
La7 0.8627 0.8627 0.3196  7 La 3.59-3.73, 3 Tb 3.65-3.66, 2 Cd 3.65
La8 0.9548 0.9548 0.7720  9 La 3.59-3.68, 2 Cd 3.64, 1 Tb 3.65
Tb1 0.2265 0.2265 0.1354  10 La 3.63-3.69, 2 Tb 3.65
Tb2 0.7735 0.7735 0.8646  10 La 3.63-3.69, 2 Tb 3.65
Cd1 0.5000 0.5000 0.5000  12 La 3.56-3.65

<B>
Material: La8Tb2Cd
Method: DFT, PBE
State: optimized geometry

Density   6.777 g cm⁻³
DOS at the Fermi energy   16.43 states/eV/f.u.
Size of the total moment   0.000 μB per atom
Space-group type   C2/m, No. 12

Cell: 9.7659 9.7659 6.1947 Å, 102.94 102.94 41.18°
Closest atoms and distances in Å follow each position.
Fractional coordinates of all 11 atoms:
La1 0.0342 0.0342 0.2803  4 La 3.26-3.58, 1 Tb 3.39
La2 0.0793 0.6102 0.0154  4 La 3.22-3.58, 1 Cd 3.39
La3 0.3898 0.9207 0.9846  4 La 3.22-3.58, 1 Cd 3.39
La4 0.4002 0.4002 0.4763  1 Cd 3.32, 3 La 3.33-3.59, 1 Tb 3.41
La5 0.5998 0.5998 0.5237  1 Cd 3.32, 3 La 3.33-3.59, 1 Tb 3.41
La6 0.6102 0.0793 0.0154  4 La 3.22-3.58, 1 Cd 3.39
La7 0.9207 0.3898 0.9846  4 La 3.22-3.58, 1 Cd 3.39
La8 0.9658 0.9658 0.7197  4 La 3.26-3.58, 1 Tb 3.39
Tb1 0.2198 0.2198 0.5373  8 La 3.39-3.75, 2 Tb 3.67
Tb2 0.7802 0.7802 0.4627  8 La 3.39-3.75, 2 Tb 3.67
Cd1 0.5000 0.5000 0.0000  6 La 3.32-3.39

Structures ranked by computed energy, the most stable listed first: <A>, <B>.

<A>
Material: La2TbCd2
Method: DFT, PBE
State: optimized geometry

Density   6.891 g cm⁻³
DOS at the Fermi energy   7.82 states/eV/f.u.
Size of the total moment   0.001 μB per atom
Space-group type   Ibam, No. 72

Cell: 8.1158 8.1158 8.1158 Å, 118.60 78.90 135.55°
Closest atoms and distances in Å follow each position.
Fractional coordinates of all 10 atoms:
La1 0.2072 0.1554 0.3626  5 Cd 3.27-3.60, 2 La 3.61
La2 0.2928 0.6554 0.9482  5 Cd 3.27-3.60, 2 La 3.61
La3 0.7072 0.3446 0.0518  5 Cd 3.27-3.60, 2 La 3.61
La4 0.7928 0.8446 0.6374  5 Cd 3.27-3.60, 2 La 3.61
Tb1 0.2500 0.7500 0.5000  2 Tb 3.07, 4 Cd 3.23
Tb2 0.7500 0.2500 0.5000  2 Tb 3.07, 4 Cd 3.23
Cd1 0.0567 0.8327 0.8893  3 Cd 3.12-3.38, 2 Tb 3.23, 3 La 3.27-3.31
Cd2 0.4433 0.3327 0.7760  3 Cd 3.12-3.38, 2 Tb 3.23, 3 La 3.27-3.31
Cd3 0.5567 0.6673 0.2240  3 Cd 3.12-3.38, 2 Tb 3.23, 3 La 3.27-3.31
Cd4 0.9433 0.1673 0.1107  3 Cd 3.12-3.38, 2 Tb 3.23, 3 La 3.27-3.31

<B>
Material: La2TbCd2
Method: DFT, PBE
State: optimized geometry

Density   7.306 g cm⁻³
DOS at the Fermi energy   5.43 states/eV/f.u.
Size of the total moment   0.000 μB per atom
Space-group type   P2_1/m, No. 11

Cell: 3.7827 5.4577 14.6889 Å, 90.00 97.38 90.00°
Closest atoms and distances in Å follow each position.
Fractional coordinates of all 10 atoms:
La1 0.0412 0.2500 0.0817  8 Cd 3.37-3.51, 2 La 3.62
La2 0.2322 0.2500 0.4673  2 Cd 3.39, 6 La 3.45-3.78, 2 Tb 3.66
La3 0.7678 0.7500 0.5327  2 Cd 3.39, 6 La 3.45-3.78, 2 Tb 3.66
La4 0.9588 0.7500 0.9183  8 Cd 3.37-3.51, 2 La 3.62
Tb1 0.1510 0.7500 0.2994  6 Cd 3.21-3.34
Tb2 0.8490 0.2500 0.7006  6 Cd 3.21-3.34
Cd1 0.3632 0.7500 0.7260  4 Tb 3.34, 4 La 3.38-3.39, 2 Cd 3.52
Cd2 0.4388 0.2500 0.8789  2 Tb 3.21-3.22, 6 La 3.37-3.51, 2 Cd 3.52
Cd3 0.5612 0.7500 0.1211  2 Tb 3.21-3.22, 6 La 3.37-3.51, 2 Cd 3.52
Cd4 0.6368 0.2500 0.2740  4 Tb 3.34, 4 La 3.38-3.39, 2 Cd 3.52

Structures ranked by computed energy, the most stable listed first: <B>, <A>.